[1]
Computed, not measured: a geometry-optimized Si4RuSe structure at the PBE-GGA level of DFT.

Lattice parameters (Å, degrees): 7.189 7.189 7.189 90.00 90.00 90.00
Space group F-43m (No. 216)
One atom of each set of equivalent atoms:
Si 0.125 0.125 0.125
Ru 0.250 0.250 0.750
Se 0.000 0.000 0.500

**Uncorrected energy**: -5.067 eV per atom
**Uncorrected formation energy**: 675.3 meV per atom
**Total moment**: 0.0 μB per cell
**Density**: 5.226 Mg/m³

[2]
Computed, not measured: a geometry-optimized SiRuSe2 structure at the PBE-GGA level of DFT.

Lattice parameters (Å, degrees): 3.6158 3.6158 23.4460 90.00 90.00 120.00
Space group R-3m (No. 166, hexagonal axes)
One atom of each set of equivalent atoms:
Si 0.0000 0.0000 0.0000
Ru 0.0000 0.0000 0.5000
Se 0.0000 0.0000 0.1093

**Uncorrected energy**: -5.147 eV per atom
**Uncorrected formation energy**: 270.2 meV per atom
**Total moment**: 0.0 μB per cell
**Density**: 5.387 Mg/m³

[3]
Computed, not measured: a geometry-optimized Si2RuSe structure at the PBE-GGA level of DFT.

Lattice parameters (Å, degrees): 2.982 4.487 4.554 90.00 90.00 90.00
Space group Pmmm (No. 47)
One atom of each set of equivalent atoms:
Si 0.000 0.000 0.000
Si 0.500 0.500 0.000
Ru 0.000 0.500 0.500
Se 0.500 0.000 0.500

**Uncorrected energy**: -5.478 eV per atom
**Uncorrected formation energy**: 423.4 meV per atom
**Total moment**: 0.0 μB per cell
**Density**: 6.437 Mg/m³

[4]
Computed, not measured: a geometry-optimized SiRuSe2 structure at the PBE-GGA level of DFT.

Lattice parameters (Å, degrees): 3.124 3.124 6.982 90.00 90.00 90.00
Space group P4/mmm (No. 123)
One atom of each set of equivalent atoms:
Si 0.000 0.000 0.000
Ru 0.000 0.000 0.500
Se 0.500 0.500 0.278

**Uncorrected energy**: -5.036 eV per atom
**Uncorrected formation energy**: 381.2 meV per atom
**Total moment**: 0.1 μB per cell
**Density**: 6.996 Mg/m³

Number 1: V 15.48 Å³/atom. Number 2: V 22.12 Å³/atom. Number 3: V 15.23 Å³/atom. Number 4: V 17.04 Å³/atom.